Here is a relaxed structure of CoPtI from the Alexandria database. Energies are from PBE.

Cell: 5.1361 3.6360 6.4423 Å, 90.00 99.40 90.00°
Closest atoms and distances in Å follow each position.
Element x y z (fractional)
Pt 0.6112 0.0000 0.0770  3 Co 2.46-2.51, 1 I 2.73
Co 0.8688 0.0000 0.4344  3 Pt 2.46-2.51, 3 I 2.48-2.60
I 0.1378 0.5000 0.3137  3 Co 2.48-2.60, 1 Pt 2.73
Pt 0.6112 0.5000 0.5770  3 Co 2.46-2.51, 1 I 2.73
Co 0.8688 0.5000 0.9344  3 Pt 2.46-2.51, 3 I 2.48-2.60
I 0.1378 0.0000 0.8137  3 Co 2.48-2.60, 1 Pt 2.73



Here is a relaxed structure of CoPtI from the Alexandria database. Energies are from PBE.

Cell: 9.9146 3.9478 7.2099 Å, 90.00 95.47 90.00°
Closest atoms and distances in Å follow each position.
Element x y z (fractional)
Pt 0.4271 0.5000 0.9507  3 Co 2.51-2.53, 2 I 2.70
I 0.6135 0.5000 0.4718  2 Pt 2.70
Pt 0.4271 0.0000 0.4507  3 Co 2.51-2.53, 2 I 2.70
Pt 0.2452 0.5000 0.5714  5 Co 2.47-2.67
Co 0.1077 0.5000 0.2157  1 Co 2.22
Co 0.1077 0.0000 0.7157  1 Co 2.22
I 0.9784 0.0000 0.3714  3 Co 2.66-2.68
I 0.6135 0.0000 0.9718  2 Pt 2.70
I 0.9784 0.5000 0.8714  3 Co 2.66-2.68
Co 0.3320 0.0000 0.7612  1 Co 2.22, 1 Pt 2.47
Pt 0.2452 0.0000 0.0714  5 Co 2.47-2.67
Co 0.3320 0.5000 0.2612  1 Co 2.22, 1 Pt 2.47



Here is a relaxed structure of CoPtI6 from the Alexandria database. Energies are from PBE.

Cell: 7.1192 7.1192 6.8652 Å, 100.53 100.53 102.41°
Closest atoms and distances in Å follow each position.
Element x y z (fractional)
Pt 0.0000 0.0000 0.0000  6 I 2.71-2.72
I 0.9493 0.2707 0.3069  1 Co 2.58, 1 Pt 2.72
I 0.2668 0.2668 0.8865  1 Pt 2.71, 1 Co 3.00
I 0.7293 0.0507 0.6931  1 Co 2.58, 1 Pt 2.72
Co 0.0000 0.0000 0.5000  4 I 2.58
I 0.0507 0.7293 0.6931  1 Co 2.58, 1 Pt 2.72
I 0.2707 0.9493 0.3069  1 Co 2.58, 1 Pt 2.72
I 0.7332 0.7332 0.1135  1 Pt 2.71, 1 Co 3.00



Here is a relaxed structure of CoPtI from the Alexandria database. Energies are from PBE.

Cell: 3.8500 3.9084 9.5042 Å, 90.00 90.00 119.51°
Closest atoms and distances in Å follow each position.
Element x y z (fractional)
Co 0.1226 0.2452 0.1235  1 Co 2.35, 3 Pt 2.53-2.54
Co 0.1226 0.2452 0.8765  1 Co 2.35, 3 Pt 2.53-2.54
Pt 0.4513 0.9027 0.0000  6 Co 2.53-2.54
Pt 0.3276 0.6553 0.5000  4 I 2.70
I 0.8212 0.6424 0.6998  3 Co 2.65-2.89, 2 Pt 2.70
I 0.8212 0.6424 0.3002  3 Co 2.65-2.89, 2 Pt 2.70



Here is a relaxed structure of CoPt2I8 from the Alexandria database. Energies are from PBE.

Cell: 9.5659 7.7297 11.0303 Å, 116.39 90.00 128.23°
Closest atoms and distances in Å follow each position.
Element x y z (fractional)
I 0.3567 0.7133 0.5216  1 Pt 2.63
I 0.8470 0.6940 0.3255  2 Pt 2.62-2.65
I 0.7734 0.9130 0.8181  1 Co 2.48
I 0.8605 0.0870 0.1819  1 Co 2.48
I 0.6433 0.2867 0.4784  1 Pt 2.63
Pt 0.0987 0.1974 0.4080  5 I 2.62-2.80
Co 0.0000 0.0000 0.0000  4 I 2.48
I 0.2266 0.0870 0.1819  1 Co 2.48
I 0.1395 0.9130 0.8181  1 Co 2.48
I 0.1530 0.3060 0.6745  2 Pt 2.62-2.65
Pt 0.9013 0.8026 0.5920  5 I 2.62-2.80



Here is a relaxed structure of CoPtI4 from the Alexandria database. Energies are from PBE.

Cell: 4.0548 6.9336 7.0946 Å, 107.79 90.00 90.00°
Closest atoms and distances in Å follow each position.
Element x y z (fractional)
I 0.0000 0.2400 0.7231  1 Pt 2.74, 2 Co 2.79
I 0.0000 0.7600 0.2769  1 Pt 2.74, 2 Co 2.79
Pt 0.0000 0.5000 0.5000  6 I 2.74-2.81
Co 0.5000 0.0000 0.5000  6 I 2.71-2.79
I 0.5000 0.2537 0.2759  1 Co 2.71, 2 Pt 2.81
I 0.5000 0.7463 0.7241  1 Co 2.71, 2 Pt 2.81



Here is a relaxed structure of CoPtI from the Alexandria database. Energies are from PBE.

Cell: 10.4407 4.0417 6.7377 Å, 90.00 102.96 90.00°
Closest atoms and distances in Å follow each position.
Element x y z (fractional)
Pt 0.4446 0.0000 0.5867  3 Co 2.55-2.56, 3 I 2.81-2.83
Pt 0.2465 0.0000 0.8355  6 Co 2.45-2.69
Co 0.1091 0.0000 0.1238  1 Co 2.29
I 0.6060 0.5000 0.4844  3 Pt 2.81-2.83
Co 0.1091 0.5000 0.6238  1 Co 2.29
Pt 0.4446 0.5000 0.0867  3 Co 2.55-2.56, 3 I 2.81-2.83
I 0.9639 0.5000 0.2372  3 Co 2.70-2.74, 1 Pt 2.88
I 0.6060 0.0000 0.9844  3 Pt 2.81-2.83
Co 0.3338 0.0000 0.2076  1 Co 2.29, 6 Pt 2.45-2.56
Co 0.3338 0.5000 0.7076  1 Co 2.29, 6 Pt 2.45-2.56
Pt 0.2465 0.5000 0.3355  6 Co 2.45-2.69
I 0.9639 0.0000 0.7372  3 Co 2.70-2.74, 1 Pt 2.88



Here is a relaxed structure of CoPtI from the Alexandria database. Energies are from PBE.

Cell: 3.9488 4.0981 10.2281 Å, 78.39 84.53 61.28°
Closest atoms and distances in Å follow each position.
Element x y z (fractional)
Co 0.4934 0.2146 0.1102  1 Co 2.22
Pt 0.1558 0.8218 0.2452  5 Co 2.47-2.66
I 0.8212 0.6236 0.9821  3 Co 2.66-2.68
Pt 0.8029 0.4390 0.4256  3 Co 2.51-2.53, 2 I 2.70
Co 0.4786 0.1339 0.3316  1 Co 2.22, 1 Pt 2.47
I 0.3023 0.3492 0.6093  2 Pt 2.70



no.,total magnetization (μB/cell),formation energy (no corrections) (eV per atom)
1,0.00,0.48
2,8.58,0.18
3,1.07,-0.05
4,4.17,0.45
5,1.46,0.01
6,2.72,0.02
7,9.77,0.23
8,4.33,0.19